VASP calculation (PBE) on a relaxed UNb3Tl2O12 crystal.

a b c (Å): 7.5224 7.5224 19.2234
angles (deg): 90.00 90.00 120.00
Space group R-3m (No. 166, hexagonal axes)
Symmetry-distinct sites (fractional):
U  0.0000  0.0000  0.0000 (multiplicity 3)
Nb  0.0000  0.5000  0.5000 (multiplicity 9)
Tl  0.0000  0.0000  0.4047 (multiplicity 6)
O  0.0799  0.5399  0.6022 (multiplicity 18)
O  0.0806  0.5403  0.8515 (multiplicity 18)

Results
The calculation puts the uncorrected formation energy at -2263 meV/atom.